# PrDy7Mg2 (PBE, optimized geometry)
# SG = Cmmm (65)
# Size of the total moment = 0.00 μB/atom
# Formation energy = 0.5850 eV per atom
data_PrDy7Mg2
_chemical_formula_sum 'Pr1 Dy7 Mg2'
_cell_length_a 5.3864
_cell_length_b 9.1685
_cell_length_c 9.1686
_cell_angle_alpha 123.08
_cell_angle_beta 90.00
_cell_angle_gamma 90.00
_space_group_name_H-M_alt 'P 1'
_space_group_IT_number 1
loop_
_space_group_symop_operation_xyz
'x,y,z'
loop_
_atom_site_label
_atom_site_type_symbol
_atom_site_fract_x
_atom_site_fract_y
_atom_site_fract_z
Dy1 Dy 0.5000 0.7031 0.9325
Dy2 Dy 0.5000 0.2969 0.0675
Dy3 Dy 0.0000 0.7842 0.2158
Dy4 Dy 0.0000 0.2158 0.7842
Dy5 Dy 0.5000 0.0675 0.2969
Dy6 Dy 0.5000 0.5000 0.5000
Pr1 Pr 0.0000 0.0000 0.0000
Mg1 Mg 0.5000 0.7029 0.2971
Dy7 Dy 0.5000 0.9325 0.7031
Mg2 Mg 0.5000 0.2971 0.7029